PBE Cd2GaHgI, relaxed; calculated total energy = -0.050 hartree per atom; spin magnetization = 0.0 μB/f.u.; volume = 30.5 Å³/atom; symmetry = P4/mmm (123)
1.0
5.329 0.000 0.000
0.000 5.329 0.000
0.000 0.000 5.374
Cd Ga Hg I
2 1 1 1
direct
0.000 0.500 0.000 Cd
0.500 0.000 0.000 Cd
0.000 0.000 0.000 Ga
0.000 0.000 0.500 Hg
0.500 0.500 0.500 I